Record 1
Crystalline MgMnAs2 at its relaxed geometry, computed with PBE.

Calculated values
Formation energy ... -0.4 eV/f.u.
D(E_F) ... 2.209 states/eV per cell
Theoretical density ... 5.63 g/cm³
Calculated total energy ... -5.109 eV/atom

Geometry as POSCAR:
```
MgMnAs2
1.0
3.2702 0.0000 0.0000
0.0000 3.2671 0.0000
0.0000 0.0000 6.3208
As Mg Mn
2 1 1
Direct
0.0000 0.0000 0.9634 As
0.0000 0.0000 0.5366 As
0.5000 0.5000 0.2500 Mg
0.5000 0.5000 0.7500 Mn
```

Record 2
Crystalline MgMnAs2 at its relaxed geometry, computed with PBE.

Calculated values
Formation energy ... -0.4 eV/f.u.
D(E_F) ... 1.668 states/eV per cell
Theoretical density ... 5.28 g/cm³
Calculated total energy ... -5.126 eV/atom

Geometry as POSCAR:
```
MgMnAs2
1.0
-4.8866 -1.5138 1.3163
-2.9133 -4.3916 0.3600
0.5396 -0.9399 3.9420
As Mg Mn
2 1 1
Direct
0.0007 0.0007 0.0812 As
0.7471 0.7471 0.6752 As
0.4879 0.4879 0.5770 Mg
0.2643 0.2643 0.1666 Mn
```

Record 3
Crystalline MgMnAs2 at its relaxed geometry, computed with PBE.

Calculated values
Formation energy ... -1.1 eV/f.u.
D(E_F) ... 1.023 states/eV per cell
Theoretical density ... 5.08 g/cm³
Calculated total energy ... -5.293 eV/atom

Geometry as POSCAR:
```
MgMnAs2
1.0
6.6995 -0.3107 -0.1861
5.8518 3.2765 -0.1861
5.8518 1.3828 2.9763
As Mg Mn
2 1 1
Direct
0.0114 0.0114 0.0114 As
0.4886 0.4886 0.4886 As
0.2500 0.2500 0.2500 Mg
0.7500 0.7500 0.7500 Mn
```

Record 4
Crystalline MgMnAs2 at its relaxed geometry, computed with PBE.

Calculated values
Formation energy ... -0.7 eV/f.u.
D(E_F) ... 1.978 states/eV per cell
Theoretical density ... 5.18 g/cm³
Calculated total energy ... -5.192 eV/atom

Geometry as POSCAR:
```
MgMnAs2
1.0
-6.6844 1.1877 0.7364
-4.6127 0.4486 5.0155
5.9563 1.5666 -2.9500
As Mg Mn
2 1 1
Direct
0.0592 0.0592 0.0000 As
0.7811 0.2811 0.5000 As
0.4517 0.4517 0.0000 Mg
0.2080 0.7080 0.5000 Mn
```

Record 5
Crystalline Mg2MnAs2 at its relaxed geometry, computed with PBE.

Calculated values
Distance to the lowest polymorph of the same formula ... 0 meV/atom
Formation energy ... -1.8 eV/f.u.
D(E_F) ... 1.619 states/eV per cell
Theoretical density ... 4.05 g/cm³
Calculated total energy ... -4.689 eV/atom

Geometry as POSCAR:
```
Mg2MnAs2
1.0
-0.3486 3.4874 -2.3472
-0.3274 0.2420 4.1985
6.6504 0.9759 0.4623
Mg Mn As
2 1 2
Direct
0.0000 0.0000 0.9993 Mg
0.6667 0.3333 0.3665 Mg
0.3333 0.6667 0.6350 Mn
0.6667 0.3333 0.7660 As
0.3333 0.6667 0.2333 As
```

Record 6
Crystalline MgMn3As at its relaxed geometry, computed with PBE.

Calculated values
Distance to the lowest polymorph of the same formula ... 836 meV/atom
Formation energy ... 6.3 eV/f.u.
D(E_F) ... 2.784 states/eV per cell
Theoretical density ... 4.31 g/cm³
Calculated total energy ... -5.489 eV/atom

Geometry as POSCAR:
```
MgMn3As
1.0
4.6684 0.0000 0.0000
0.0000 4.6684 0.0000
0.0000 0.0000 4.6684
As Mn Mg
1 3 1
Direct
0.5000 0.5000 0.5000 As
0.0000 0.5000 0.0000 Mn
0.0000 0.0000 0.5000 Mn
0.5000 0.0000 0.0000 Mn
0.0000 0.0000 0.0000 Mg
```

Record 7
Crystalline Mg3MnAs at its relaxed geometry, computed with PBE.

Calculated values
Distance to the lowest polymorph of the same formula ... 337 meV/atom
Formation energy ... 3.5 eV/f.u.
D(E_F) ... 6.070 states/eV per cell
Theoretical density ... 2.68 g/cm³
Calculated total energy ... -3.013 eV/atom

Geometry as POSCAR:
```
Mg3MnAs
1.0
5.0065 0.0000 0.0000
0.0000 5.0065 0.0000
0.0000 0.0000 5.0065
As Mn Mg
1 1 3
Direct
0.5000 0.5000 0.5000 As
0.0000 0.0000 0.0000 Mn
0.0000 0.5000 0.0000 Mg
0.0000 0.0000 0.5000 Mg
0.5000 0.0000 0.0000 Mg
```

Record 8
Crystalline MgMnAs2 at its relaxed geometry, computed with PBE.

Calculated values
Formation energy ... 1.1 eV/f.u.
D(E_F) ... 2.170 states/eV per cell
Theoretical density ... 5.23 g/cm³
Calculated total energy ... -4.752 eV/atom

Geometry as POSCAR:
```
MgMnAs2
1.0
4.6869 0.0000 0.0000
2.3434 4.0589 0.0000
2.3434 1.3530 3.8268
As Mg Mn
2 1 1
Direct
0.0000 0.0000 0.0000 As
0.2500 0.2500 0.2500 As
0.5000 0.5000 0.5000 Mg
0.7500 0.7500 0.7500 Mn
```

Record 9
Crystalline MgMnAs2 at its relaxed geometry, computed with PBE.

Calculated values
Formation energy ... -0.3 eV/f.u.
D(E_F) ... 1.667 states/eV per cell
Theoretical density ... 5.35 g/cm³
Calculated total energy ... -5.084 eV/atom

Geometry as POSCAR:
```
MgMnAs2
1.0
-5.0446 -0.0435 2.3975
-0.6704 -0.4406 5.5276
2.9409 2.9281 -3.7383
As Mg Mn
2 1 1
Direct
0.0000 0.0000 0.0000 As
0.2500 0.7500 0.5000 As
0.5000 0.5000 0.0000 Mg
0.7500 0.2500 0.5000 Mn
```

Record 10
Crystalline Mg2MnAs2 at its relaxed geometry, computed with PBE.

Calculated values
Distance to the lowest polymorph of the same formula ... 115 meV/atom
Formation energy ... -1.2 eV/f.u.
D(E_F) ... 2.206 states/eV per cell
Theoretical density ... 4.56 g/cm³
Calculated total energy ... -4.574 eV/atom

Geometry as POSCAR:
```
Mg2MnAs2
1.0
-6.1388 -2.8309 -0.1610
2.5625 -5.3746 -3.2050
0.7238 -1.7714 3.5493
As Mn Mg
4 2 4
Direct
0.3441 0.8441 0.0000 As
0.8441 0.6559 0.0000 As
0.6559 0.1559 0.0000 As
0.1559 0.3441 0.0000 As
0.0000 0.0000 0.0000 Mn
0.5000 0.5000 0.0000 Mn
0.1606 0.6606 0.5000 Mg
0.6606 0.8394 0.5000 Mg
0.8394 0.3394 0.5000 Mg
0.3394 0.1606 0.5000 Mg
```

Record 11
Crystalline MgMnAs2 at its relaxed geometry, computed with PBE.

Calculated values
Formation energy ... -0.6 eV/f.u.
D(E_F) ... 2.038 states/eV per cell
Theoretical density ... 5.01 g/cm³
Calculated total energy ... -5.175 eV/atom

Geometry as POSCAR:
```
MgMnAs2
1.0
3.7748 0.0150 0.0000
-0.0147 3.7748 0.0000
0.0000 0.0000 5.3324
As Mg Mn
2 1 1
Direct
0.0000 0.0000 0.8754 As
0.5000 0.5000 0.3747 As
0.0000 0.0000 0.3756 Mg
0.5000 0.5000 0.8743 Mn
```

Record 12
Crystalline MgMnAs2 at its relaxed geometry, computed with PBE.

Calculated values
Formation energy ... 0.2 eV/f.u.
D(E_F) ... 6.209 states/eV per cell
Theoretical density ... 4.13 g/cm³
Calculated total energy ... -4.964 eV/atom

Geometry as POSCAR:
```
MgMnAs2
1.0
-0.7526 4.2753 3.8982
2.5833 -3.2691 4.0841
5.7129 2.5908 2.6277
As Mn Mg
4 2 2
Direct
0.6866 0.1250 0.2500 As
0.0634 0.6250 0.2500 As
0.3750 0.3134 0.7500 As
0.8750 0.9366 0.7500 As
0.0000 0.0000 0.0000 Mn
0.7500 0.2500 0.5000 Mn
0.5000 0.5000 0.0000 Mg
0.2500 0.7500 0.5000 Mg
```